# 1
AlTcSe2 | GGA-PBEsol | relaxed

Symmetry: R-3m, No. 166
Formation energy (no corrections), eV/atom: -0.080

```
AlTcSe2
1.0
3.074 0.000 0.000
1.537 2.662 0.000
1.537 0.887 8.685
Tc Se Al
1 2 1
Cartesian
3.074 1.775 4.342
4.611 2.662 6.140
1.537 0.887 2.544
0.000 0.000 0.000
```


# 2
Al2TcSe | GGA-PBEsol | relaxed

Symmetry: P4mm, No. 99
Formation energy (no corrections), eV/atom: -0.036

```
Al2TcSe
1.0
3.387 0.000 0.000
0.000 3.387 0.000
0.000 0.000 5.504
Al Se Tc
2 1 1
Cartesian
0.000 0.000 5.354
1.694 1.694 1.388
0.000 0.000 2.615
1.694 1.694 4.403
```


# 3
AlTcSe2 | GGA-PBEsol | relaxed

Symmetry: P4/mmm, No. 123
Formation energy (no corrections), eV/atom: -0.004

```
AlTcSe2
1.0
3.070 0.000 0.000
0.000 3.070 0.000
0.000 0.000 6.952
Se Tc Al
2 1 1
Cartesian
0.000 0.000 5.426
0.000 0.000 1.526
1.535 1.535 0.000
1.535 1.535 3.476
```


# 4
AlTcSe2 | GGA-PBEsol | relaxed

Symmetry: R-3m, No. 166
Formation energy (no corrections), eV/atom: 0.198

```
AlTcSe2
1.0
-1.836 -1.159 -2.546
-1.102 -3.159 0.035
-7.503 0.878 2.812
Se Al Tc
2 1 1
Cartesian
-4.912 -3.617 -1.407
-5.530 0.177 1.708
-5.221 -1.720 0.151
0.000 0.000 0.000
```


# 5
AlTeSe | GGA-PBEsol | relaxed

Symmetry: F-43m, No. 216
Formation energy (no corrections), eV/atom: 0.035

```
AlTeSe
1.0
4.676 0.000 0.000
2.338 4.050 0.000
2.338 1.350 3.818
Se Te Al
1 1 1
Cartesian
0.000 0.000 0.000
4.676 2.700 1.909
2.338 1.350 0.955
```


# 6
AlTlSe2 | GGA-PBEsol | relaxed

Symmetry: C2/c, No. 15
Formation energy (no corrections), eV/atom: -0.700

```
AlTlSe2
1.0
7.563 0.007 -0.010
0.005 7.563 -0.010
-1.938 -1.939 15.294
Al Tl Se
8 8 16
Cartesian
1.897 0.887 10.091
3.733 4.744 5.183
-0.003 4.754 5.156
5.633 0.877 10.117
1.856 2.867 2.444
1.845 6.602 2.470
3.774 2.765 12.830
3.785 -0.971 12.803
5.638 1.238 5.980
5.836 4.747 1.797
3.776 4.868 9.444
1.854 0.763 5.829
0.268 4.669 13.627
-0.008 4.393 9.294
-0.206 0.885 13.476
5.362 0.963 1.647
3.808 2.792 3.813
-0.106 2.769 3.808
-0.028 1.021 8.667
5.736 2.862 11.466
3.830 6.706 3.819
1.857 4.884 6.652
-0.145 6.744 3.813
3.773 0.747 8.621
1.822 2.840 11.460
1.800 -1.074 11.455
5.775 -1.112 11.460
3.915 0.889 14.299
5.658 4.611 6.606
1.715 4.743 0.974
3.640 4.690 14.253
1.990 0.942 1.020
```